No. 1
{
  "formula": "PmHoSi",
  "functional": "PBE-GGA",
  "state": "optimized geometry",
  "dos_ef_per_ev_cell": 1.66,
  "space_group": "P3m1, No. 156",
  "e_form_raw_mev_per_atom": -309,
  "relative_energy_mev_per_atom": 205,
  "energy_ev_per_atom": -5.226,
  "lattice_angstrom": [[4.224, 0.000, 0.000], [0.000, 4.676, 0.000], [0.000, -2.338, 4.049]],
  "species": ["Ho", "Pm", "Si"],
  "frac_coords": [[0.235, 0.333, 0.667], [0.705, 0.667, 0.333], [0.060, 0.000, 0.000]]
}

No. 2
{
  "formula": "PmHoSi2",
  "functional": "PBE-GGA",
  "state": "optimized geometry",
  "dos_ef_per_ev_cell": 2.24,
  "space_group": "R-3m, No. 166",
  "e_form_raw_mev_per_atom": -493,
  "relative_energy_mev_per_atom": 301,
  "energy_ev_per_atom": -5.536,
  "lattice_angstrom": [[-2.548, 3.845, -0.347], [-2.882, 1.181, 3.420], [1.981, 4.391, 3.281]],
  "species": ["Si", "Si", "Pm", "Ho"],
  "frac_coords": [[0.243, 0.243, 0.272], [0.757, 0.757, 0.728], [0.000, 0.000, 0.000], [0.500, 0.500, 0.500]]
}